(1)
A plane-wave DFT calculation with PBE-GGA was carried out for crystalline ScZnSb2 at its relaxed geometry.

Cell and atoms, written as extended XYZ:
```
4
Lattice="-2.2237 -5.1680 -2.1282 2.8253 -3.1129 -4.3022 1.1830 2.6559 5.2658" Properties=species:S:1:pos:R:3 pbc="T T T"
Zn 2.1540 -2.2911 -1.1199
Sb -0.3695 -3.3322 -0.0434
Sb 0.0002 -0.0029 -0.0022
Sc 0.3007 -4.1393 -3.2143
```

Raw total energy: -17.1 eV for the cell shown
Magnetic moment: 0.00 μB/cell

---

(2)
A plane-wave DFT calculation with PBE-GGA was carried out for crystalline ScZn2Sb2 at its relaxed geometry.

Cell and atoms, written as extended XYZ:
```
10
Lattice="7.4907 0.0000 0.0000 0.0000 7.4907 0.0000 0.0000 0.0000 3.7795" Properties=species:S:1:pos:R:3 pbc="T T T"
Sc 3.7454 3.7454 0.0000
Zn 4.6408 0.8954 0.0000
Zn 2.8499 6.5953 0.0000
Sb 2.3907 1.3546 1.8897
Sb 5.1000 6.1361 1.8897
Sb 6.1361 2.3907 1.8897
Zn 0.8954 2.8499 0.0000
Sb 1.3546 5.1000 1.8897
Sc 0.0000 0.0000 0.0000
Zn 6.5953 4.6408 0.0000
```

Raw total energy: -35.9 eV for the cell shown
Magnetic moment: 0.00 μB/cell

---

(3)
A plane-wave DFT calculation with PBE-GGA was carried out for crystalline ScZn4Sb at its relaxed geometry.

Cell and atoms, written as extended XYZ:
```
6
Lattice="0.0000 3.7974 3.7974 3.7974 0.0000 3.7974 3.7974 3.7974 0.0000" Properties=species:S:1:pos:R:3 pbc="T T T"
Zn 2.8366 4.7581 4.7581
Sc 0.0000 0.0000 0.0000
Sb 5.6960 5.6960 5.6960
Zn 4.7581 4.7581 2.8366
Zn 4.7581 2.8366 4.7581
Zn 2.8366 2.8366 2.8366
```

Raw total energy: -16.0 eV for the cell shown
Magnetic moment: 0.00 μB/cell

---

(4)
A plane-wave DFT calculation with PBE-GGA was carried out for crystalline ScZn3Sb at its relaxed geometry.

Cell and atoms, written as extended XYZ:
```
5
Lattice="-3.0342 4.1438 0.3255 -3.8242 -2.9409 1.7916 1.6286 0.8144 4.8133" Properties=species:S:1:pos:R:3 pbc="T T T"
Zn -1.5171 2.0719 0.1628
Sb -2.6149 1.0087 3.4652
Zn 0.8143 0.4072 2.4067
Sc 0.0000 0.0000 0.0000
Zn -1.9121 -1.4705 0.8958
```

Energy above the most stable polymorph in this dataset: 0.117 eV per atom
Magnetic moment: 0.00 μB/cell

---

(5)
A plane-wave DFT calculation with PBE-GGA was carried out for crystalline Sc2Zn2Sb at its relaxed geometry.

Cell and atoms, written as extended XYZ:
```
10
Lattice="-3.5718 -0.7071 -5.9113 5.4674 -3.1177 -2.9306 -1.4097 -3.6874 1.2928" Properties=species:S:1:pos:R:3 pbc="T T T"
Sc -0.9743 -2.6016 -1.8092
Sb 0.9478 -1.9124 -4.4210
Zn 1.6141 -1.2603 -1.8345
Zn 0.2814 -2.5645 -7.0074
Sb 0.0000 0.0000 0.0000
Zn 3.4467 -2.9975 -4.7912
Sc 1.4602 -4.9105 -5.7399
Zn -1.5511 -0.8272 -4.0508
Sc -1.8610 -3.4680 -5.2468
Sc 2.3468 -4.0442 -2.3022
```

Energy above the most stable polymorph in this dataset: 0.000 eV per atom
Magnetic moment: 0.00 μB/cell

---

(6)
A plane-wave DFT calculation with PBE-GGA was carried out for crystalline ScZnSb2 at its relaxed geometry.

Cell and atoms, written as extended XYZ:
```
4
Lattice="-1.7327 -2.8535 1.8826 1.8871 -2.5583 -2.1409 4.5798 -0.0658 4.1155" Properties=species:S:1:pos:R:3 pbc="T T T"
Sb 2.2837 -0.0328 2.0522
Sb 0.0062 -0.0001 0.0056
Zn 3.5120 -2.7553 2.9575
Sc 1.2221 -2.7224 0.8997
```

Raw total energy: -17.2 eV for the cell shown
Magnetic moment: 0.00 μB/cell